Record 1
First-principles (GGA-PBE) data for K2DyVS4 after structural relaxation, as listed in Alexandria.

Lattice parameters (Å, degrees): 6.934 6.934 6.934 93.19 118.17 118.17
Fractional coordinates of all 8 atoms:
K: 0.500 0.750 0.250
K: 0.000 0.000 0.000
S: 0.601 0.385 0.447
S: 0.062 0.216 0.615
S: 0.399 0.846 0.784
S: 0.938 0.553 0.154
V: 0.000 0.500 0.500
Dy: 0.500 0.250 0.750

***

Record 2
First-principles (GGA-PBE) data for KDyY4S8 after structural relaxation, as listed in Alexandria.

Lattice parameters (Å, degrees): 8.227 8.227 8.223 59.98 59.98 60.00
Fractional coordinates of all 14 atoms:
Y: 0.625 0.625 0.125
Y: 0.005 0.486 0.504
Y: 0.486 0.005 0.504
Y: 0.005 0.005 0.504
S: 0.758 0.227 0.257
S: 0.233 0.800 0.734
S: 0.234 0.234 0.299
S: 0.227 0.758 0.257
S: 0.800 0.233 0.734
S: 0.233 0.233 0.734
S: 0.758 0.758 0.257
S: 0.758 0.758 0.727
Dy: 0.005 0.005 0.986
K: 0.375 0.375 0.874

Properties
D(E_F) ... 0.00 states/eV per cell

***

Record 3
First-principles (GGA-PBE) data for KDy4YS8 after structural relaxation, as listed in Alexandria.

Lattice parameters (Å, degrees): 8.213 8.213 8.222 60.04 60.04 60.00
Fractional coordinates of all 14 atoms:
S: 0.799 0.234 0.733
S: 0.233 0.233 0.300
S: 0.757 0.228 0.257
S: 0.234 0.799 0.733
S: 0.234 0.234 0.733
S: 0.757 0.757 0.257
S: 0.757 0.757 0.728
S: 0.228 0.757 0.257
Dy: 0.486 0.004 0.505
Dy: 0.004 0.486 0.505
Dy: 0.625 0.625 0.125
Dy: 0.004 0.004 0.505
K: 0.374 0.374 0.877
Y: 0.005 0.005 0.986

Properties
D(E_F) ... 0.00 states/eV per cell

***

Record 4
First-principles (GGA-PBE) data for K3Dy2YS6 after structural relaxation, as listed in Alexandria.

Lattice parameters (Å, degrees): 7.020 7.020 7.733 98.70 98.70 120.00
Fractional coordinates of all 12 atoms:
Dy: 0.333 0.667 0.000
Dy: 0.667 0.333 0.000
Y: 0.000 0.000 0.000
S: 0.599 0.933 0.798
S: 0.401 0.067 0.202
S: 0.733 0.733 0.202
S: 0.267 0.267 0.798
S: 0.067 0.401 0.202
S: 0.933 0.599 0.798
K: 0.833 0.167 0.500
K: 0.167 0.833 0.500
K: 0.500 0.500 0.500

Properties
D(E_F) ... 0.00 states/eV per cell

***

Record 5
First-principles (GGA-PBE) data for KDyZnS3 after structural relaxation, as listed in Alexandria.

Lattice parameters (Å, degrees): 3.990 8.760 9.505 107.39 90.00 90.00
Fractional coordinates of all 12 atoms:
S: 0.250 0.542 0.847
S: 0.250 0.114 0.856
S: 0.750 0.197 0.536
S: 0.750 0.458 0.153
S: 0.750 0.886 0.144
S: 0.250 0.803 0.464
Dy: 0.750 0.333 0.857
Dy: 0.250 0.667 0.143
K: 0.250 0.203 0.227
K: 0.750 0.797 0.773
Zn: 0.750 0.916 0.393
Zn: 0.250 0.084 0.607

Properties
D(E_F) ... 0.00 states/eV per cell

***

Record 6
First-principles (GGA-PBE) data for K3Dy3ZrS8 after structural relaxation, as listed in Alexandria.

Lattice parameters (Å, degrees): 7.931 7.932 8.791 116.83 90.00 120.00
Fractional coordinates of all 15 atoms:
S: 0.253 0.030 0.307
S: 0.266 0.533 0.299
S: 0.734 0.467 0.701
S: 0.777 0.554 0.307
S: 0.777 0.030 0.307
S: 0.223 0.970 0.693
S: 0.747 0.970 0.693
S: 0.223 0.446 0.693
Zr: 0.000 0.000 0.500
Dy: 0.500 0.000 0.500
Dy: 0.500 0.500 0.500
Dy: 0.000 0.500 0.500
K: 0.500 0.500 0.000
K: 0.000 0.500 0.000
K: 0.000 0.000 0.000

Properties
D(E_F) ... 0.00 states/eV per cell

***

no.,spin magnetization (μB/f.u.),E_tot (eV per atom)
1,2.0,-5.3258
2,0.0,-6.5524
3,0.0,-6.1506
4,0.0,-5.5348
5,0.0,-4.7144
6,0.0,-5.7396